This record from Alexandria via LeMat-Bulk describes a geometry-optimized Sm2AgGe structure. The functional is PBE-GGA.

- density of states at the Fermi level (states/eV/f.u.) = 3.7
- formation energy (kcal/mol of atoms) = -9.8
- spin magnetization (μB per atom) = 0.000
- total energy (eV per atom) = -4.650

a b c (Å): 4.3635 4.3635 7.3588
angles (deg): 72.75 72.75 60.00
Sites, in units of the cell vectors:
Ge 0.0000 0.0000 0.0000
Sm 0.7416 0.7416 0.7753
Ag 0.5000 0.5000 0.5000
Sm 0.2584 0.2584 0.2247